Model A:
# TcIN2Cl

A relaxed structure of TcIN2Cl (PBE, the Alexandria database).

Structure (extended XYZ):
```
5
Lattice="3.985 0.000 0.000 0.000 3.985 0.000 0.000 0.000 6.847" Properties=species:S:1:pos:R:3 pbc="T T T"
Cl 0.000 0.000 0.000
N 0.000 1.993 0.000
N 1.993 0.000 0.000
I 0.000 0.000 3.423
Tc 1.993 1.993 3.423
```


Model B:
# TcIN2Cl

A relaxed structure of TcIN2Cl (PBE, the Alexandria database).

Structure (extended XYZ):
```
5
Lattice="3.917 0.000 0.000 0.000 3.917 0.000 0.000 0.000 5.847" Properties=species:S:1:pos:R:3 pbc="T T T"
N 0.000 1.958 0.000
N 1.958 0.000 0.000
Cl 1.958 1.958 2.923
Tc 0.000 0.000 0.000
I 0.000 0.000 2.923
```


Name the most stable of them. model B.


Model A:
# TeI2NCl

A relaxed structure of TeI2NCl (PBE, the Alexandria database).

Structure (extended XYZ):
```
5
Lattice="4.954 0.000 0.000 0.000 4.954 0.000 0.000 0.000 4.984" Properties=species:S:1:pos:R:3 pbc="T T T"
Te 0.000 0.000 2.492
I 2.477 0.000 0.000
I 0.000 2.477 0.000
Cl 2.477 2.477 2.492
N 0.000 0.000 0.000
```


Model B:
# TeI2NCl

A relaxed structure of TeI2NCl (PBE, the Alexandria database).

Structure (extended XYZ):
```
5
Lattice="-6.237 -3.711 1.674 4.003 -6.148 1.283 0.327 0.868 3.142" Properties=species:S:1:pos:R:3 pbc="T T T"
I -3.118 -1.855 0.837
I 2.001 -3.074 0.641
N 0.163 0.434 1.571
Cl 0.000 0.000 0.000
Te -0.953 -4.495 3.050
```


Model C:
# TeI2NCl

A relaxed structure of TeI2NCl (PBE, the Alexandria database).

Structure (extended XYZ):
```
5
Lattice="-6.104 -0.221 1.437 1.334 -3.325 5.151 0.366 3.350 2.068" Properties=species:S:1:pos:R:3 pbc="T T T"
I 0.667 -1.663 2.576
I -3.052 -0.111 0.719
Te 0.000 0.000 0.000
Cl -2.202 -0.098 4.328
N 0.183 1.675 1.034
```


Name the most stable of them. model C.


Model A:
# Te2INCl

A relaxed structure of Te2INCl (PBE, the Alexandria database).

Structure (extended XYZ):
```
5
Lattice="4.882 0.000 0.000 0.000 4.882 0.000 0.000 0.000 4.935" Properties=species:S:1:pos:R:3 pbc="T T T"
N 0.000 0.000 0.000
I 0.000 0.000 2.468
Te 0.000 2.441 0.000
Te 2.441 0.000 0.000
Cl 2.441 2.441 2.468
```


Model B:
# Te2INCl

A relaxed structure of Te2INCl (PBE, the Alexandria database).

Structure (extended XYZ):
```
5
Lattice="-6.513 -1.185 -0.560 0.683 -5.492 3.676 -0.556 1.763 2.738" Properties=species:S:1:pos:R:3 pbc="T T T"
I -3.193 -2.457 2.927
Cl 0.000 0.000 0.000
Te -3.257 -0.592 -0.280
Te 0.341 -2.746 1.838
N -0.278 0.882 1.369
```


Model C:
# Te2INCl

A relaxed structure of Te2INCl (PBE, the Alexandria database).

Structure (extended XYZ):
```
5
Lattice="-2.065 -2.392 5.281 4.183 -4.496 -0.401 2.533 2.180 1.978" Properties=species:S:1:pos:R:3 pbc="T T T"
N 1.267 1.090 0.989
Te 2.092 -2.248 -0.201
Te -1.033 -1.196 2.640
I 0.000 0.000 0.000
Cl 2.325 -2.354 3.429
```


Name the most stable of them. model A.


Model A:
# TiI2NCl

A relaxed structure of TiI2NCl (PBE, the Alexandria database).

Structure (extended XYZ):
```
5
Lattice="-5.486 0.304 -1.642 -1.212 -4.606 3.194 -0.752 2.225 2.923" Properties=species:S:1:pos:R:3 pbc="T T T"
I -0.606 -2.303 1.597
I -2.743 0.152 -0.821
Ti 0.000 0.000 0.000
N -0.376 1.112 1.461
Cl -3.725 -1.039 2.237
```


Model B:
# TiI2NCl

A relaxed structure of TiI2NCl (PBE, the Alexandria database).

Structure (extended XYZ):
```
5
Lattice="-5.032 2.386 -3.121 -3.096 -5.531 0.765 -1.298 1.136 2.961" Properties=species:S:1:pos:R:3 pbc="T T T"
I -1.548 -2.765 0.382
I -2.516 1.193 -1.561
N -0.649 0.568 1.481
Cl 0.000 0.000 0.000
Ti -4.713 -1.004 0.302
```


Name the most stable of them. model A.


Model A:
# TiIN2Cl

A relaxed structure of TiIN2Cl (PBE, the Alexandria database).

Structure (extended XYZ):
```
5
Lattice="-3.095 -2.084 -1.290 1.504 -3.256 1.652 -3.028 1.257 5.236" Properties=species:S:1:pos:R:3 pbc="T T T"
Ti 0.000 0.000 0.000
I -1.514 0.629 2.618
N 0.752 -1.628 0.826
N -1.548 -1.042 -0.645
Cl -2.310 -2.041 2.799
```


Model B:
# TiIN2Cl

A relaxed structure of TiIN2Cl (PBE, the Alexandria database).

Structure (extended XYZ):
```
5
Lattice="-3.839 0.446 0.458 -0.419 -3.861 0.251 0.722 0.297 5.759" Properties=species:S:1:pos:R:3 pbc="T T T"
Cl 0.000 0.000 0.000
I 0.361 0.148 2.879
Ti -1.768 -1.559 3.234
N -0.209 -1.930 0.126
N -1.919 0.223 0.229
```


Name the most stable of them. model A.


Model A:
# YI2NCl

A relaxed structure of YI2NCl (PBE, the Alexandria database).

Structure (extended XYZ):
```
5
Lattice="6.060 0.000 0.000 0.000 6.060 0.000 0.000 0.000 4.637" Properties=species:S:1:pos:R:3 pbc="T T T"
I 3.030 0.000 0.000
I 0.000 3.030 0.000
Cl 3.030 3.030 2.318
Y 0.000 0.000 0.000
N 0.000 0.000 2.318
```


Model B:
# YI2NCl

A relaxed structure of YI2NCl (PBE, the Alexandria database).

Structure (extended XYZ):
```
5
Lattice="-1.011 -4.787 3.926 4.301 2.318 3.934 -2.558 1.910 1.671" Properties=species:S:1:pos:R:3 pbc="T T T"
I -0.505 -2.394 1.963
I 2.151 1.159 1.967
N -1.279 0.955 0.835
Y 0.366 -0.279 4.766
Cl 0.000 0.000 0.000
```


Name the most stable of them. model A.


Model A:
# ZnI2NCl

A relaxed structure of ZnI2NCl (PBE, the Alexandria database).

Structure (extended XYZ):
```
5
Lattice="-7.213 1.673 -0.968 -1.295 -6.959 -2.378 -0.631 -0.936 3.084" Properties=species:S:1:pos:R:3 pbc="T T T"
Zn -4.570 -3.111 -0.131
N -0.316 -0.468 1.542
I -3.606 0.837 -0.484
I -0.648 -3.480 -1.189
Cl 0.000 0.000 0.000
```


Model B:
# ZnI2NCl

A relaxed structure of ZnI2NCl (PBE, the Alexandria database).

Structure (extended XYZ):
```
5
Lattice="-2.581 0.103 5.512 -2.252 -5.575 -0.950 3.041 -1.476 1.451" Properties=species:S:1:pos:R:3 pbc="T T T"
Cl -0.896 -3.474 3.006
N 1.520 -0.738 0.726
I -1.290 0.051 2.756
I -1.126 -2.787 -0.475
Zn 0.000 0.000 0.000
```


Name the most stable of them. model B.


Model A:
# NaICl4

A relaxed structure of NaICl4 (PBE, the Alexandria database).

Structure (extended XYZ):
```
12
Lattice="7.831 -0.485 2.492 -4.319 6.532 2.484 -0.273 -0.482 8.211" Properties=species:S:1:pos:R:3 pbc="T T T"
Cl 4.738 2.068 3.508
Cl 1.521 3.495 7.550
Cl -1.499 3.496 9.680
Cl 2.566 5.292 12.235
Cl 1.718 2.069 5.638
Cl 5.379 1.376 7.618
Cl 0.673 0.272 0.953
Cl -2.140 4.188 5.570
Na 4.085 3.537 5.787
Na -0.846 2.027 7.401
I 0.917 5.040 9.898
I 2.322 0.524 3.290
```


Model B:
# NaICl4

A relaxed structure of NaICl4 (PBE, the Alexandria database).

Structure (extended XYZ):
```
12
Lattice="-1.495 6.378 -4.981 3.785 -6.242 -2.485 -8.336 -3.525 1.464" Properties=species:S:1:pos:R:3 pbc="T T T"
I -2.203 -6.864 -1.408
I -3.842 3.476 -4.594
Cl -7.187 -0.857 -1.090
Cl -0.547 -1.696 -0.834
Cl -3.653 -3.109 -1.842
Cl -5.498 -1.693 -5.168
Cl -5.705 2.159 -3.365
Cl 1.142 -2.532 -4.912
Cl -2.392 -0.280 -4.160
Cl -0.340 -5.548 -2.637
Na -1.242 -2.854 -3.359
Na -4.803 -0.535 -2.643
```


Name the most stable of them. model B.